[1]
Below is crystalline TaAg2AuCl at its relaxed geometry, with properties calculated at the GGA-PBE level.

The uncorrected formation energy comes out at 23.60 kcal/mol of atoms.

The structure belongs to space group P4/mmm (No. 123); the cell edges are 5.1685, 5.1685 and 5.0579 Å and the angles 90.00°, 90.00° and 90.00°. The inequivalent atoms are Ta at (0.0000, 0.0000, 0.0000), Ag at (0.0000, 0.5000, 0.5000), Au at (0.0000, 0.0000, 0.5000) and Cl at (0.5000, 0.5000, 0.0000).

=====

[2]
Below is crystalline DyPu6Ge6 at its relaxed geometry, with properties calculated at the GGA-PBE level.

The calculation puts the energy of formation at -250 meV/atom.

The structure belongs to space group Cmmm (No. 65); the cell edges are 5.9925, 10.2994 and 9.5598 Å and the angles 90.00°, 90.00° and 90.00°. The inequivalent atoms are Dy at (0.0000, 0.0000, 0.0000), Pu at (0.0000, 0.5000, 0.3085), Pu at (0.2500, 0.2500, 0.2294), Ge at (0.0000, 0.0000, 0.3066), Ge at (0.0000, 0.2333, 0.5000) and Ge at (0.0000, 0.3773, 0.0000).

=====

[3]
Below is crystalline MnCuTcPt at its relaxed geometry, with properties calculated at the GGA-PBE level.

The calculation puts the energy of formation at -6 meV/atom.

The structure belongs to space group F-43m (No. 216); the cell edges are 6.0385, 6.0385 and 6.0385 Å and the angles 90.00°, 90.00° and 90.00°. The inequivalent atoms are Mn at (0.0000, 0.0000, 0.0000), Cu at (0.0000, 0.0000, 0.5000), Tc at (0.2500, 0.2500, 0.7500) and Pt at (0.2500, 0.2500, 0.2500).

=====

[4]
Below is crystalline LiMo2Br at its relaxed geometry, with properties calculated at the GGA-PBE level.

The excess energy over the best structure of this formula in the dataset is 186 meV/atom. The uncorrected formation energy comes out at 5.89 kcal/mol of atoms.

The structure belongs to space group C2/m (No. 12); the cell edges are 13.6455, 3.2765 and 3.3794 Å and the angles 90.00°, 102.89° and 90.00°. The inequivalent atoms are Li at (0.0000, 0.0000, 0.0000), Mo at (0.2065, 0.0000, 0.6721) and Br at (0.0000, 0.5000, 0.5000).

=====

[5]
Below is crystalline RbCo2PtRh at its relaxed geometry, with properties calculated at the GGA-PBE level.

The calculation puts the energy of formation at 2485 meV/atom.

The structure belongs to space group P4/mmm (No. 123); the cell edges are 4.4811, 4.4811 and 4.7203 Å and the angles 90.00°, 90.00° and 90.00°. The inequivalent atoms are Rb at (0.0000, 0.0000, 0.0000), Co at (0.0000, 0.5000, 0.0000), Pt at (0.5000, 0.5000, 0.5000) and Rh at (0.0000, 0.0000, 0.5000).

=====

[6]
Below is crystalline LiAuI5 at its relaxed geometry, with properties calculated at the GGA-PBE level.

The uncorrected formation energy comes out at -6.83 kcal/mol of atoms.

The structure belongs to space group C2/c (No. 15); the cell edges are 13.7404, 11.6120 and 10.7950 Å and the angles 90.00°, 123.20° and 90.00°. The inequivalent atoms are Li at (0.0000, 0.1850, 0.2500), Au at (0.0000, 0.5000, 0.0000), I at (0.0000, 0.4240, 0.2500), I at (0.0519, 0.1134, 0.0369) and I at (0.1817, 0.3623, 0.0904).

=====

[7]
Below is crystalline MgH at its relaxed geometry, with properties calculated at the GGA-PBE level.

The excess energy over the best structure of this formula in the dataset is 85 meV/atom.

The structure belongs to space group P6_3/m (No. 176); the cell edges are 7.7839, 7.7839 and 3.2638 Å and the angles 90.00°, 90.00° and 120.00°. The inequivalent atoms are Mg at (0.1166, 0.7162, 0.2500) and H at (0.1408, 0.2918, 0.7500).

=====

[8]
Below is crystalline DyInTeSe at its relaxed geometry, with properties calculated at the GGA-PBE level.

The uncorrected formation energy comes out at -25.71 kcal/mol of atoms.

The structure belongs to space group R3m (No. 160, hexagonal axes); the cell edges are 4.2782, 4.2782 and 24.2295 Å and the angles 90.00°, 90.00° and 120.00°. The inequivalent atoms are Dy at (0.0000, 0.0000, 0.0000), In at (0.0000, 0.0000, 0.1640), Te at (0.0000, 0.0000, 0.5871) and Se at (0.0000, 0.0000, 0.3925).

=====

[9]
Below is crystalline Y2ZnMoN at its relaxed geometry, with properties calculated at the GGA-PBE level.

The uncorrected formation energy comes out at -14.10 kcal/mol of atoms.

The structure belongs to space group P4/mmm (No. 123); the cell edges are 4.8793, 4.8793 and 3.9996 Å and the angles 90.00°, 90.00° and 90.00°. The inequivalent atoms are Y at (0.0000, 0.5000, 0.0000), Zn at (0.0000, 0.0000, 0.5000), Mo at (0.5000, 0.5000, 0.5000) and N at (0.5000, 0.5000, 0.0000).

=====

[10]
Below is crystalline LaTb3Pm2 at its relaxed geometry, with properties calculated at the GGA-PBE level.

The calculation puts the energy of formation at 20 meV/atom. The excess energy over the best structure of this formula in the dataset is 0 meV/atom.

The structure belongs to space group C2/m (No. 12); the cell edges are 15.3749, 5.1318 and 11.4482 Å and the angles 90.00°, 116.58° and 90.00°. The inequivalent atoms are La at (0.1257, 0.0000, 0.1283), Tb at (0.0422, 0.0000, 0.3785), Tb at (0.1231, 0.5000, 0.6206), Tb at (0.2104, 0.5000, 0.3804), Pm at (0.0416, 0.5000, 0.8718) and Pm at (0.2058, 0.0000, 0.8711).

=====

[11]
Below is crystalline Tl3RuCl at its relaxed geometry, with properties calculated at the GGA-PBE level.

The excess energy over the best structure of this formula in the dataset is 0 meV/atom. The uncorrected formation energy comes out at -2.32 kcal/mol of atoms.

The structure belongs to space group Pm-3m (No. 221); the cell edges are 5.2956, 5.2956 and 5.2956 Å and the angles 90.00°, 90.00° and 90.00°. The inequivalent atoms are Tl at (0.0000, 0.0000, 0.5000), Ru at (0.0000, 0.0000, 0.0000) and Cl at (0.5000, 0.5000, 0.5000).

=====

[12]
Below is crystalline PuHf5N6 at its relaxed geometry, with properties calculated at the GGA-PBE level.

The uncorrected formation energy comes out at -39.01 kcal/mol of atoms.

The structure belongs to space group C2/m (No. 12); the cell edges are 5.6331, 9.7598 and 5.6314 Å and the angles 90.00°, 109.52° and 90.00°. The inequivalent atoms are Pu at (0.0000, 0.0000, 0.0000), Hf at (0.0000, 0.1673, 0.5000), Hf at (0.0000, 0.3320, 0.0000), Hf at (0.0000, 0.5000, 0.5000), N at (0.2399, 0.5000, 0.2556) and N at (0.2416, 0.3278, 0.7409).